Entry 1:
## Dy2YGa3Cu2Ni (PBE-GGA)

Data for a relaxed Dy2YGa3Cu2Ni crystal.

Unit cell a=3.992 b=6.954 c=6.954 alpha=120.16 beta=90.00 gamma=90.00
Fractional positions:
Cu: 0.500 0.667 0.332
Cu: 0.500 0.332 0.667
Dy: 0.000 0.409 0.000
Dy: 0.000 0.000 0.409
Ga: 0.500 0.236 0.236
Ga: 0.500 0.000 0.764
Ga: 0.500 0.764 0.000
Ni: 0.000 0.002 0.002
Y: 0.000 0.590 0.590

Values from the calculation:
Symmetry: Amm2 (38)
Energy: -4.73 eV/atom



Entry 2:
## BaCuP (PBE-GGA)

Data for a relaxed BaCuP crystal.

Unit cell a=7.524 b=7.524 c=4.417 alpha=90.00 beta=90.00 gamma=120.00
Fractional positions:
Ba: 0.626 0.000 0.000
Ba: 0.374 0.374 0.000
Ba: 0.000 0.626 0.000
Cu: 0.000 0.000 0.000
Cu: 0.667 0.333 0.500
Cu: 0.333 0.667 0.500
P: 0.315 0.000 0.500
P: 0.000 0.315 0.500
P: 0.685 0.685 0.500

Values from the calculation:
Symmetry: P-62m (189)
Energy: -3.94 eV/atom



Entry 3:
## KRbAsAu (PBE-GGA)

Data for a relaxed KRbAsAu crystal.

Unit cell a=6.531 b=6.453 c=6.453 alpha=106.55 beta=90.00 gamma=90.00
Fractional positions:
As: 0.000 0.249 0.249
As: 0.500 0.751 0.751
Au: 0.248 0.502 0.502
Au: 0.752 0.502 0.502
K: 0.000 0.674 0.019
K: 0.000 0.019 0.674
Rb: 0.500 0.978 0.324
Rb: 0.500 0.324 0.978

Values from the calculation:
Symmetry: Amm2 (38)
Polymorph energy (0 for the lowest one): 2.1 meV/atom
Energy: -3.00 eV/atom



Entry 4:
## TbTlPbS3 (PBE-GGA)

Data for a relaxed TbTlPbS3 crystal.

Unit cell a=9.146 b=9.146 c=10.692 alpha=90.00 beta=90.00 gamma=154.24
Fractional positions:
Pb: 0.368 0.632 0.250
Pb: 0.632 0.368 0.750
S: 0.603 0.397 0.024
S: 0.969 0.031 0.250
S: 0.603 0.397 0.476
S: 0.397 0.603 0.524
S: 0.031 0.969 0.750
S: 0.397 0.603 0.976
Tb: 0.000 0.000 0.000
Tb: 0.000 0.000 0.500
Tl: 0.688 0.312 0.250
Tl: 0.312 0.688 0.750

Values from the calculation:
Symmetry: Cmcm (63)
Energy: -4.90 eV/atom



Entry 5:
## DySbIr (PBE-GGA)

Data for a relaxed DySbIr crystal.

Unit cell a=6.986 b=6.986 c=4.448 alpha=90.00 beta=90.00 gamma=120.00
Fractional positions:
Dy: 0.567 0.000 0.000
Dy: 0.433 0.433 0.000
Dy: 0.000 0.567 0.000
Ir: 0.238 0.000 0.500
Ir: 0.000 0.238 0.500
Ir: 0.762 0.762 0.500
Sb: 0.000 0.000 0.000
Sb: 0.667 0.333 0.500
Sb: 0.333 0.667 0.500

Values from the calculation:
Symmetry: P-62m (189)
Energy: -6.65 eV/atom



Entry 6:
## SrZrBeNi (PBE-GGA)

Data for a relaxed SrZrBeNi crystal.

Unit cell a=4.685 b=4.685 c=4.685 alpha=60.00 beta=60.00 gamma=60.00
Fractional positions:
Be: 0.750 0.750 0.750
Ni: 0.500 0.500 0.500
Sr: 0.250 0.250 0.250
Zr: 0.000 0.000 0.000

Values from the calculation:
Symmetry: F-43m (216)
Polymorph energy (0 for the lowest one): 282.2 meV/atom
Energy: -4.24 eV/atom



Entry 7:
## PrBe2 (PBE-GGA)

Data for a relaxed PrBe2 crystal.

Unit cell a=9.591 b=9.591 c=9.591 alpha=60.00 beta=60.00 gamma=60.00
Site moments in Bohr magnetons follow the coordinates.
Fractional positions:
Be: 0.375 0.375 0.375  0.24
Be: 0.375 0.875 0.375  0.24
Be: 0.875 0.375 0.375  0.23
Be: 0.375 0.375 0.875  0.24
Pr: 0.250 0.250 0.250  0.84
Pr: 0.500 0.500 0.500  0.84

Values from the calculation:
Symmetry: Fd-3m (227)
Polymorph energy (0 for the lowest one): 2263.1 meV/atom
Energy: -1.60 eV/atom



Entry 8:
## HfZrGe4 (PBE-GGA)

Data for a relaxed HfZrGe4 crystal.

Unit cell a=3.788 b=7.766 c=7.766 alpha=28.55 beta=90.00 gamma=90.00
Fractional positions:
Ge: 0.500 0.061 0.061
Ge: 0.000 0.249 0.249
Ge: 0.500 0.749 0.749
Ge: 0.000 0.941 0.941
Hf: 0.000 0.605 0.605
Zr: 0.500 0.395 0.395

Values from the calculation:
Symmetry: Amm2 (38)
Energy: -6.70 eV/atom



Entry 9:
## Sc7CoCl12 (PBE-GGA)

Data for a relaxed Sc7CoCl12 crystal.

Unit cell a=8.235 b=8.235 c=8.235 alpha=107.02 beta=107.02 gamma=107.02
Fractional positions:
Cl: 0.679 0.221 0.071
Cl: 0.385 0.463 0.165
Cl: 0.071 0.679 0.221
Cl: 0.779 0.929 0.321
Cl: 0.463 0.165 0.385
Cl: 0.165 0.385 0.463
Cl: 0.835 0.615 0.537
Cl: 0.537 0.835 0.615
Cl: 0.221 0.071 0.679
Cl: 0.929 0.321 0.779
Cl: 0.615 0.537 0.835
Cl: 0.321 0.779 0.929
Co: 0.000 0.000 0.000
Sc: 0.313 0.103 0.025
Sc: 0.025 0.313 0.103
Sc: 0.103 0.025 0.313
Sc: 0.500 0.500 0.500
Sc: 0.897 0.975 0.687
Sc: 0.975 0.687 0.897
Sc: 0.687 0.897 0.975

Values from the calculation:
Symmetry: R-3 (148)
Energy: -5.47 eV/atom



Entry 10:
## GaCoTcAg (PBE-GGA)

Data for a relaxed GaCoTcAg crystal.

Unit cell a=4.352 b=4.352 c=4.352 alpha=60.00 beta=60.00 gamma=60.00
Site moments in Bohr magnetons follow the coordinates.
Fractional positions:
Ag: 0.500 0.500 0.500  0.07
Co: 0.750 0.750 0.750  1.34
Ga: 0.000 0.000 0.000  -0.04
Tc: 0.250 0.250 0.250  1.14

Values from the calculation:
Symmetry: F-43m (216)
Polymorph energy (0 for the lowest one): 0.0 meV/atom
Energy: -5.48 eV/atom



Entry 11:
## Zr4PdAu (PBE-GGA)

Data for a relaxed Zr4PdAu crystal.

Unit cell a=4.653 b=6.217 c=6.217 alpha=136.07 beta=90.00 gamma=90.00
Fractional positions:
Au: 0.000 0.252 0.252
Pd: 0.500 0.748 0.748
Zr: 0.500 0.409 0.090
Zr: 0.500 0.090 0.409
Zr: 0.000 0.909 0.592
Zr: 0.000 0.592 0.909

Values from the calculation:
ΔH_f (0 K): -0.45 eV per atom
Symmetry: Amm2 (38)
Polymorph energy (0 for the lowest one): 6.0 meV/atom
Energy: -7.56 eV/atom



Entry 12:
## TbEr2Ga3AgIr2 (PBE-GGA)

Data for a relaxed TbEr2Ga3AgIr2 crystal.

Unit cell a=3.862 b=7.304 c=7.304 alpha=120.46 beta=90.00 gamma=90.00
Fractional positions:
Ag: 0.000 0.997 0.997
Er: 0.000 0.590 0.000
Er: 0.000 0.000 0.590
Ga: 0.500 0.999 0.271
Ga: 0.500 0.730 0.730
Ga: 0.500 0.271 0.999
Ir: 0.500 0.669 0.333
Ir: 0.500 0.333 0.669
Tb: 0.000 0.410 0.410

Values from the calculation:
Symmetry: Amm2 (38)
Energy: -5.54 eV/atom



Entry 13:
## NaAgTePtSe2 (PBE-GGA)

Data for a relaxed NaAgTePtSe2 crystal.

Unit cell a=7.439 b=7.439 c=10.923 alpha=90.00 beta=90.00 gamma=151.01
Fractional positions:
Ag: 0.605 0.395 0.250
Ag: 0.395 0.605 0.750
Na: 0.269 0.731 0.250
Na: 0.731 0.269 0.750
Pt: 0.000 0.000 0.000
Pt: 0.000 0.000 0.500
Se: 0.619 0.381 0.017
Se: 0.619 0.381 0.483
Se: 0.381 0.619 0.517
Se: 0.381 0.619 0.983
Te: 0.946 0.054 0.250
Te: 0.054 0.946 0.750

Values from the calculation:
Symmetry: Cmcm (63)
Energy: -3.71 eV/atom



Entry 14:
## RbHfSc (PBE-GGA)

Data for a relaxed RbHfSc crystal.

Unit cell a=5.079 b=5.079 c=5.079 alpha=60.00 beta=60.00 gamma=60.00
Fractional positions:
Hf: 0.250 0.250 0.250
Rb: 0.000 0.000 0.000
Sc: 0.750 0.750 0.750

Values from the calculation:
Symmetry: F-43m (216)
Polymorph energy (0 for the lowest one): 306.3 meV/atom
Energy: -3.75 eV/atom



Entry 15:
## Er2Ni12P7 (PBE-GGA)

Data for a relaxed Er2Ni12P7 crystal.

Unit cell a=9.007 b=9.006 c=3.661 alpha=90.00 beta=90.00 gamma=120.00
Fractional positions:
Er: 0.333 0.667 0.000
Er: 0.667 0.333 0.500
Ni: 0.435 0.061 0.000
Ni: 0.153 0.275 0.000
Ni: 0.939 0.374 0.000
Ni: 0.626 0.565 0.000
Ni: 0.122 0.847 0.000
Ni: 0.725 0.878 0.000
Ni: 0.217 0.095 0.500
Ni: 0.905 0.123 0.500
Ni: 0.382 0.431 0.500
Ni: 0.049 0.618 0.500
Ni: 0.877 0.783 0.500
Ni: 0.569 0.951 0.500
P: 0.000 0.000 0.000
P: 0.706 0.114 0.000
P: 0.408 0.294 0.000
P: 0.886 0.592 0.000
P: 0.112 0.406 0.500
P: 0.594 0.706 0.500
P: 0.294 0.888 0.500

Values from the calculation:
Symmetry: P-6 (174)
Energy: -6.20 eV/atom



Entry 16:
## Rb2TbScO4 (PBE-GGA)

Data for a relaxed Rb2TbScO4 crystal.

Unit cell a=3.379 b=3.379 c=12.812 alpha=90.00 beta=90.00 gamma=120.00
Fractional positions:
O: 0.333 0.667 0.094
O: 0.333 0.667 0.419
O: 0.667 0.333 0.581
O: 0.667 0.333 0.906
Rb: 0.667 0.333 0.256
Rb: 0.333 0.667 0.744
Sc: 0.000 0.000 0.500
Tb: 0.000 0.000 0.000

Values from the calculation:
Symmetry: P-3m1 (164)
Energy: -6.72 eV/atom



Entry 17:
## MgTlFeSb (PBE-GGA)

Data for a relaxed MgTlFeSb crystal.

Unit cell a=4.935 b=4.935 c=4.935 alpha=60.00 beta=60.00 gamma=60.00
Fractional positions:
Fe: 0.250 0.250 0.250
Mg: 0.750 0.750 0.750
Sb: 0.000 0.000 0.000
Tl: 0.500 0.500 0.500

Values from the calculation:
Symmetry: F-43m (216)
Polymorph energy (0 for the lowest one): 0.0 meV/atom
Energy: -3.76 eV/atom



Entry 18:
## NaHoPd (PBE-GGA)

Data for a relaxed NaHoPd crystal.

Unit cell a=4.767 b=4.767 c=4.767 alpha=60.00 beta=60.00 gamma=60.00
Fractional positions:
Ho: 0.250 0.250 0.250
Na: 0.750 0.750 0.750
Pd: 0.000 0.000 0.000

Values from the calculation:
Symmetry: F-43m (216)
Polymorph energy (0 for the lowest one): 0.0 meV/atom
Energy: -3.95 eV/atom



Entry 19:
## NbFe2Au (PBE-GGA)

Data for a relaxed NbFe2Au crystal.

Unit cell a=4.405 b=4.405 c=4.405 alpha=60.00 beta=60.00 gamma=60.00
Site moments in Bohr magnetons follow the coordinates.
Fractional positions:
Au: 0.500 0.500 0.500  -0.01
Fe: 0.000 0.000 0.000  2.20
Fe: 0.250 0.250 0.250  2.75
Nb: 0.750 0.750 0.750  -0.46

Values from the calculation:
ΔH_f (0 K): 0.18 eV per atom
Symmetry: F-43m (216)
Energy: -7.31 eV/atom



Entry 20:
## PmHoAl (PBE-GGA)

Data for a relaxed PmHoAl crystal.

Unit cell a=5.077 b=5.077 c=5.077 alpha=60.00 beta=60.00 gamma=60.00
Fractional positions:
Al: 0.250 0.250 0.250
Ho: 0.000 0.000 0.000
Pm: 0.750 0.750 0.750

Values from the calculation:
Symmetry: F-43m (216)
Polymorph energy (0 for the lowest one): 0.0 meV/atom
Energy: -3.86 eV/atom



Entry 21:
## NdPu2As3 (PBE-GGA)

Data for a relaxed NdPu2As3 crystal.

Unit cell a=4.183 b=4.183 c=10.219 alpha=90.00 beta=90.00 gamma=120.00
Site moments in Bohr magnetons follow the coordinates.
Fractional positions:
As: 0.000 0.000 0.000  -0.15
As: 0.333 0.667 0.324  -0.10
As: 0.667 0.333 0.676  -0.10
Nd: 0.000 0.000 0.500  0.01
Pu: 0.667 0.333 0.163  5.01
Pu: 0.333 0.667 0.837  5.01

Values from the calculation:
Symmetry: P-3m1 (164)
Energy: -9.07 eV/atom



Entry 22:
## PaZnB (PBE-GGA)

Data for a relaxed PaZnB crystal.

Unit cell a=4.196 b=4.196 c=4.196 alpha=60.00 beta=60.00 gamma=60.00
Fractional positions:
B: 0.000 0.000 0.000
Pa: 0.250 0.250 0.250
Zn: 0.750 0.750 0.750

Values from the calculation:
Symmetry: F-43m (216)
Polymorph energy (0 for the lowest one): 0.0 meV/atom
Energy: -5.66 eV/atom



Entry 23:
## NdCuSnTe3 (PBE-GGA)

Data for a relaxed NdCuSnTe3 crystal.

Unit cell a=12.485 b=4.414 c=12.554 alpha=90.00 beta=90.00 gamma=90.00
Fractional positions:
Cu: 0.766 0.000 0.207
Cu: 0.266 0.000 0.293
Cu: 0.734 0.500 0.707
Cu: 0.234 0.500 0.793
Nd: 0.467 0.500 0.190
Nd: 0.967 0.500 0.310
Nd: 0.033 0.000 0.690
Nd: 0.533 0.000 0.810
Sn: 0.802 0.500 0.021
Sn: 0.302 0.500 0.479
Sn: 0.698 0.000 0.521
Sn: 0.198 0.000 0.979
Te: 0.606 0.000 0.062
Te: 0.960 0.000 0.127
Te: 0.210 0.500 0.188
Te: 0.710 0.500 0.312
Te: 0.460 0.000 0.373
Te: 0.106 0.000 0.438
Te: 0.894 0.500 0.562
Te: 0.540 0.500 0.627
Te: 0.290 0.000 0.688
Te: 0.790 0.000 0.812
Te: 0.040 0.500 0.873
Te: 0.394 0.500 0.938

Values from the calculation:
Symmetry: Pnma (62)
Polymorph energy (0 for the lowest one): 2.6 meV/atom
Energy: -4.32 eV/atom



Entry 24:
## HoO2 (PBE-GGA)

Data for a relaxed HoO2 crystal.

Unit cell a=4.565 b=4.565 c=4.565 alpha=60.00 beta=60.00 gamma=60.00
Site moments in Bohr magnetons follow the coordinates.
Fractional positions:
Ho: 0.000 0.000 0.000  -0.16
Ho: 0.250 0.250 0.250  -0.16
O: 0.625 0.625 0.125  0.60
O: 0.625 0.125 0.625  0.57
O: 0.125 0.625 0.625  0.38
O: 0.625 0.625 0.625  0.58

Values from the calculation:
Symmetry: Fd-3m (227)
Energy: -5.41 eV/atom